[1]
Material: Pm5Tl8Cd
Method: DFT, PBE
State: relaxed

The formation energy is -0.2141 eV/atom.

The space group is I-4 (No. 82) and the conventional cell measures 9.515, 9.515 and 9.205 Å, with angles of 90.00, 90.00 and 90.00 degrees. The distinct sites, in fractional coordinates, are Pm at (0.000, 0.000, 0.000), Pm at (0.115, 0.741, 0.637), Tl at (0.073, 0.823, 0.296), Tl at (0.083, 0.670, 0.979) and Cd at (0.000, 0.500, 0.250).


[2]
Material: Pm4TlCd
Method: DFT, PBE
State: relaxed

The formation energy is -0.1758 eV/atom.

The space group is C2/m (No. 12) and the conventional cell measures 11.830, 3.626 and 9.059 Å, with angles of 90.00, 112.48 and 90.00 degrees. The distinct sites, in fractional coordinates, are Pm at (0.150, 0.000, 0.328), Pm at (0.152, 0.000, 0.823), Tl at (0.000, 0.500, 0.000) and Cd at (0.000, 0.500, 0.500).


[3]
Material: Pm3Tl2Cd4
Method: DFT, PBE
State: relaxed

The formation energy is -0.3392 eV/atom.

The space group is C2/m (No. 12) and the conventional cell measures 11.308, 5.016 and 9.506 Å, with angles of 90.00, 117.66 and 90.00 degrees. The distinct sites, in fractional coordinates, are Pm at (0.000, 0.000, 0.000), Pm at (0.166, 0.500, 0.671), Tl at (0.109, 0.500, 0.273), Cd at (0.072, 0.000, 0.410) and Cd at (0.211, 0.500, 0.038).


Final energy / eV/cell: -93.2 -46.7 -51.4